[1]
Entry from Alexandria via LeMat-Bulk: a relaxed Ac8Co2C crystal (PBE).

a = 3.943 Å, b = 9.596 Å, c = 10.143 Å
α = 92.51°, β = 101.21°, γ = 90.00°
Sites, in units of the cell vectors:
Ac 0.600 0.548 0.200
Ac 0.360 0.042 0.720
Ac 0.227 0.321 0.454
Ac 0.982 0.806 0.964
Ac 0.773 0.679 0.546
Ac 0.640 0.958 0.280
Ac 0.400 0.452 0.800
Ac 0.018 0.194 0.036
Co 0.158 0.731 0.317
Co 0.842 0.269 0.683
C 0.500 0.000 0.000

Summary:
**Formation energy from the elements**: 0.045 eV per atom
**Magnetic moment**: 0.000 μB per atom
**Fermi-level density of states**: 13.28 states/eV per cell
**Symmetry**: C2/m

=====

[2]
Entry from Alexandria via LeMat-Bulk: a relaxed AcCoC crystal (PBE).

a = 3.144 Å, b = 3.144 Å, c = 5.270 Å
α = 107.36°, β = 107.36°, γ = 90.00°
Sites, in units of the cell vectors:
Ac 0.005 0.005 0.011
C 0.721 0.721 0.442
Co 0.273 0.273 0.547

Summary:
**Formation energy from the elements**: 0.985 eV per atom
**Magnetic moment**: 0.000 μB per atom
**Fermi-level density of states**: 2.98 states/eV per cell
**Symmetry**: I4mm

=====

[3]
Entry from Alexandria via LeMat-Bulk: a relaxed AcCoC crystal (PBE).

a = 4.446 Å, b = 3.568 Å, c = 3.568 Å
α = 120.00°, β = 90.00°, γ = 90.00°
Sites, in units of the cell vectors:
Ac 0.667 0.667 0.333
Co 0.167 0.333 0.667
C 0.167 0.000 0.000

Summary:
**Formation energy from the elements**: 0.270 eV per atom
**Magnetic moment**: 0.000 μB per atom
**Fermi-level density of states**: 2.14 states/eV per cell
**Symmetry**: P-6m2

=====

[4]
Entry from Alexandria via LeMat-Bulk: a relaxed Ac3CoC4 crystal (PBE).

a = 4.019 Å, b = 7.060 Å, c = 7.846 Å
α = 120.95°, β = 104.84°, γ = 90.00°
Sites, in units of the cell vectors:
Ac 0.000 0.500 0.000
Ac 0.181 0.170 0.362
Ac 0.819 0.830 0.638
Co 0.500 0.000 0.000
C 0.429 0.137 0.857
C 0.571 0.863 0.143
C 0.639 0.797 0.277
C 0.361 0.203 0.723

Summary:
**Formation energy from the elements**: -0.028 eV per atom
**Magnetic moment**: 0.000 μB per atom
**Fermi-level density of states**: 3.70 states/eV per cell
**Symmetry**: C2/m

=====

[5]
Entry from Alexandria via LeMat-Bulk: a relaxed Ac2Ga2Co2C crystal (PBE).

a = 4.243 Å, b = 6.183 Å, c = 6.269 Å
α = 73.52°, β = 70.22°, γ = 69.93°
Sites, in units of the cell vectors:
Ac 0.554 0.192 0.700
Ac 0.446 0.808 0.300
Ga 0.190 0.385 0.235
Ga 0.810 0.615 0.765
Co 0.181 0.725 0.913
Co 0.819 0.275 0.087
C 0.000 0.000 0.000

Summary:
**Formation energy from the elements**: -0.368 eV per atom
**Magnetic moment**: 0.000 μB per atom
**Fermi-level density of states**: 4.20 states/eV per cell
**Symmetry**: C2/m

=====

[6]
Entry from Alexandria via LeMat-Bulk: a relaxed AcLa2CoC2 crystal (PBE).

a = 3.972 Å, b = 5.887 Å, c = 11.587 Å
α = 90.00°, β = 90.00°, γ = 90.00°
Site moments in Bohr magnetons follow the coordinates.
Sites, in units of the cell vectors:
Ac 0.500 0.500 0.000  0.04
Ac 0.000 0.000 0.500  0.04
La 0.500 0.004 0.202  0.04
La 0.000 0.504 0.298  0.04
La 0.500 0.996 0.798  0.04
La 0.000 0.496 0.702  0.04
Co 0.000 0.000 0.000  0.47
Co 0.500 0.500 0.500  0.47
C 0.500 0.722 0.388  0.02
C 0.500 0.278 0.612  0.02
C 0.000 0.778 0.888  0.02
C 0.000 0.222 0.112  0.02

Summary:
**Formation energy from the elements**: 0.022 eV per atom
**Magnetic moment**: 0.137 μB per atom
**Fermi-level density of states**: 13.40 states/eV per cell
**Symmetry**: Pnnm

=====

[7]
Entry from Alexandria via LeMat-Bulk: a relaxed Ac3CoC2N6 crystal (PBE).

a = 5.500 Å, b = 5.500 Å, c = 6.709 Å
α = 90.00°, β = 90.00°, γ = 120.00°
Site moments in Bohr magnetons follow the coordinates.
Sites, in units of the cell vectors:
Ac 0.333 0.667 0.666  -0.01
Ac 0.667 0.333 0.334  -0.01
Ac 0.000 0.000 0.000  -0.01
Co 0.000 0.000 0.500  1.93
C 0.667 0.333 0.733  0.02
C 0.333 0.667 0.267  0.02
N 0.623 0.812 0.275  0.02
N 0.188 0.377 0.275  0.02
N 0.188 0.812 0.275  0.02
N 0.812 0.623 0.725  0.02
N 0.377 0.188 0.725  0.02
N 0.812 0.188 0.725  0.02

Summary:
**Magnetic moment**: 0.170 μB per atom
**Formation energy without anion corrections**: -0.515 eV/atom
**Fermi-level density of states**: 2.50 states/eV per cell
**Symmetry**: P-3m1

=====

[8]
Entry from Alexandria via LeMat-Bulk: a relaxed Ac2CoC2N6 crystal (PBE).

a = 5.248 Å, b = 5.248 Å, c = 6.112 Å
α = 64.58°, β = 64.58°, γ = 60.00°
Site moments in Bohr magnetons follow the coordinates.
Sites, in units of the cell vectors:
Ac 0.774 0.774 0.678  0.03
Ac 0.226 0.226 0.322  0.03
Co 0.000 0.000 0.000  1.23
C 0.406 0.406 0.782  0.01
C 0.594 0.594 0.218  0.01
N 0.741 0.741 0.232  0.07
N 0.286 0.741 0.232  0.07
N 0.741 0.286 0.232  0.07
N 0.259 0.714 0.768  0.07
N 0.714 0.259 0.768  0.07
N 0.259 0.259 0.768  0.07

Summary:
**Magnetic moment**: 0.174 μB per atom
**Formation energy without anion corrections**: -0.321 eV/atom
**Fermi-level density of states**: 5.99 states/eV per cell
**Symmetry**: R-3m